(1)
! LiMoIrOs PBE-GGA relaxed; values from VASP
&SYSTEM
  ibrav = 0, nat = 4, ntyp = 4
/
ATOMIC_SPECIES
Mo 95.94 Mo.upf
Ir 192.22 Ir.upf
Os 190.23 Os.upf
Li 6.94 Li.upf
CELL_PARAMETERS angstrom
-0.622 -1.693 -3.899
2.897 -2.706 -1.654
-0.943 -4.171 -0.405
ATOMIC_POSITIONS angstrom
Mo 0.666 -4.285 -2.979
Ir 0.333 -2.142 -1.489
Os 0.999 -6.427 -4.468
Li 0.000 0.000 0.000
! E = -33.1 eV/cell
! Formation enthalpy at 0 K = -0.07 eV per atom
! Space group = F-43m (216)

(2)
! Li2MoIrPt PBE-GGA relaxed; values from VASP
&SYSTEM
  ibrav = 0, nat = 5, ntyp = 4
/
ATOMIC_SPECIES
Mo 95.94 Mo.upf
Ir 192.22 Ir.upf
Pt 195.08 Pt.upf
Li 6.94 Li.upf
CELL_PARAMETERS angstrom
-1.157 3.459 -2.008
-3.811 -2.442 -2.010
-2.394 1.076 3.233
ATOMIC_POSITIONS angstrom
Mo -1.905 -1.221 -1.005
Ir -3.681 1.047 -0.393
Pt 0.000 0.000 0.000
Li -1.197 0.538 1.616
Li -0.579 1.730 -1.004
! E = -25.4 eV/cell
! Formation enthalpy at 0 K = 0.83 eV per atom
! Space group = P4/mmm (123)

(3)
! LiMoIrPt2 PBE-GGA relaxed; values from VASP
&SYSTEM
  ibrav = 0, nat = 5, ntyp = 4
/
ATOMIC_SPECIES
Mo 95.94 Mo.upf
Ir 192.22 Ir.upf
Pt 195.08 Pt.upf
Li 6.94 Li.upf
CELL_PARAMETERS angstrom
4.987 0.000 0.000
0.000 4.641 0.000
0.000 0.000 4.987
ATOMIC_POSITIONS angstrom
Mo 0.000 2.321 0.000
Ir 0.000 0.000 0.000
Pt 0.000 0.000 2.493
Pt 2.493 0.000 0.000
Li 2.493 2.321 2.493
! E = -28.5 eV/cell
! Formation enthalpy at 0 K = 1.03 eV per atom
! Space group = P4/mmm (123)

(4)
! LiReMoIr PBE-GGA relaxed; values from VASP
&SYSTEM
  ibrav = 0, nat = 4, ntyp = 4
/
ATOMIC_SPECIES
Re 186.21 Re.upf
Mo 95.94 Mo.upf
Ir 192.22 Ir.upf
Li 6.94 Li.upf
CELL_PARAMETERS angstrom
-2.323 0.869 -3.540
-3.473 -2.393 -0.947
-3.959 1.694 0.374
ATOMIC_POSITIONS angstrom
Re -7.316 0.127 -3.085
Mo -4.877 0.085 -2.057
Ir 0.000 0.000 0.000
Li -2.439 0.042 -1.028
! E = -33.9 eV/cell
! Formation enthalpy at 0 K = 0.04 eV per atom
! Space group = F-43m (216)

(5)
! LiSnMoIr2 PBE-GGA relaxed; values from VASP
&SYSTEM
  ibrav = 0, nat = 5, ntyp = 4
/
ATOMIC_SPECIES
Mo 95.94 Mo.upf
Ir 192.22 Ir.upf
Sn 118.71 Sn.upf
Li 6.94 Li.upf
CELL_PARAMETERS angstrom
4.723 0.000 0.000
0.000 4.757 0.000
0.000 0.000 4.723
ATOMIC_POSITIONS angstrom
Mo 0.000 0.000 0.000
Ir 0.000 0.000 2.361
Ir 2.361 0.000 0.000
Sn 2.361 2.379 2.361
Li 0.000 2.379 0.000
! E = -29.2 eV/cell
! Formation enthalpy at 0 K = 1.05 eV per atom
! Space group = P4/mmm (123)

(6)
! LiMoIrW PBE-GGA relaxed; values from VASP
&SYSTEM
  ibrav = 0, nat = 4, ntyp = 4
/
ATOMIC_SPECIES
Mo 95.94 Mo.upf
Ir 192.22 Ir.upf
W 183.84 W.upf
Li 6.94 Li.upf
CELL_PARAMETERS angstrom
4.356 0.000 0.000
2.178 3.772 0.000
2.178 1.257 3.557
ATOMIC_POSITIONS angstrom
Mo 0.000 0.000 0.000
Ir 4.356 2.515 1.778
W 2.178 1.257 0.889
Li 6.534 3.772 2.668
! E = -34.3 eV/cell
! Formation enthalpy at 0 K = 0.07 eV per atom
! Space group = F-43m (216)

(7)
! LiIrN2 PBE-GGA relaxed; values from VASP
&SYSTEM
  ibrav = 0, nat = 16, ntyp = 3
/
ATOMIC_SPECIES
Li 6.94 Li.upf
Ir 192.22 Ir.upf
N 14.01 N.upf
CELL_PARAMETERS angstrom
-5.125 -1.143 -0.977
1.119 -5.560 0.637
-1.330 0.469 6.428
ATOMIC_POSITIONS angstrom
Li -4.953 -4.253 1.799
Li -2.931 -2.551 3.803
Li -2.699 -5.216 5.705
Li -5.185 -1.588 -0.103
Ir -0.555 -2.827 5.868
Ir -2.342 -2.864 0.685
Ir -2.068 -5.544 2.384
Ir -0.829 -0.147 4.169
N -1.849 -3.645 2.373
N -4.993 -2.927 3.428
N -4.752 -5.595 5.283
N -2.090 -0.976 0.518
N -2.433 -3.098 5.801
N -4.056 -3.394 0.067
N -3.902 -6.032 2.342
N -2.587 -0.461 3.526
! E = -106.2 eV/cell
! Energy above the most stable polymorph in this dataset = 23.6 meV/atom
! Space group = Pna2_1 (33)
! ΔE_f (raw) = 0.22 eV/atom

(8)
! LiIrN2 PBE-GGA relaxed; values from VASP
&SYSTEM
  ibrav = 0, nat = 4, ntyp = 3
/
ATOMIC_SPECIES
Ir 192.22 Ir.upf
Li 6.94 Li.upf
N 14.01 N.upf
CELL_PARAMETERS angstrom
1.830 0.000 5.637
-0.915 1.585 5.637
-0.915 -1.585 5.637
ATOMIC_POSITIONS angstrom
Ir 0.000 0.000 8.456
Li 0.000 0.000 0.000
N 0.000 0.000 15.041
N 0.000 0.000 1.871
! E = -25.7 eV/cell
! Energy above the most stable polymorph in this dataset = 225.1 meV/atom
! Space group = R-3m (166)
! ΔE_f (raw) = 0.42 eV/atom

| no. | V (Å³ per atom) |
| --- | --- |
| 1 | 14.0 |
| 2 | 17.2 |
| 3 | 23.1 |
| 4 | 14.3 |
| 5 | 21.2 |
| 6 | 14.6 |
| 7 | 12.5 |
| 8 | 12.3 |